First-principles (PBE) data for a geometry-optimized Cd2GaAu5 structure, as listed in Alexandria.

Geometry as POSCAR:
```
Cd2GaAu5
1.0
5.7377 0.0000 0.0000
0.0000 11.3738 0.0000
0.0000 0.0000 4.5598
Cd Ga Au
4 2 10
Direct
0.1590 0.1449 0.0000
0.3410 0.6449 0.0000
0.6590 0.3551 0.0000
0.8410 0.8551 0.0000
0.0000 0.5000 0.5000
0.5000 0.0000 0.5000
0.0000 0.0000 0.5000
0.0719 0.7389 0.5000
0.1659 0.3998 0.0000
0.3340 0.8998 0.0000
0.4281 0.2389 0.5000
0.5000 0.5000 0.5000
0.5719 0.7611 0.5000
0.6660 0.1002 0.0000
0.8340 0.6002 0.0000
0.9281 0.2611 0.5000
```

Results
SG   Pbam (55)
Calculated volume   298 Å³/cell
Calculated formation energy   -142 meV/atom
Crystal system   orthorhombic
Total moment   0.0 Bohr magnetons per cell